Record 1
First-principles (PBE) data for a relaxed Pr4Nd2SmHo2 crystal, as listed in Alexandria.

abc: 5.181 8.190 8.151
angles: 107.58 90.00 108.44
Element x y z (fractional)
1 Pr 0.778 0.556 0.670
2 Pr 0.222 0.444 0.330
3 Pr 0.555 0.109 0.330
4 Pr 0.445 0.891 0.670
5 Nd 0.888 0.777 0.330
6 Nd 0.112 0.223 0.670
7 Sm 0.000 0.000 0.000
8 Ho 0.332 0.665 0.000
9 Ho 0.668 0.335 0.000

Values from the calculation:
The final energy comes out at -0.1730 hartree per atom. The formation energy is 0.019 eV/atom. The total moment is 0.000 μB per cell.

---

Record 2
First-principles (PBE) data for a relaxed Ca2ZnCu5Ni2 crystal, as listed in Alexandria.

abc: 3.757 9.069 9.069
angles: 90.00 90.00 90.00
Element x y z (fractional)
1 Ca 0.000 0.678 0.178
2 Ca 0.000 0.322 0.822
3 Ca 0.000 0.178 0.322
4 Ca 0.000 0.822 0.678
5 Zn 0.000 0.000 0.000
6 Zn 0.000 0.500 0.500
7 Cu 0.500 0.205 0.060
8 Cu 0.500 0.795 0.940
9 Cu 0.500 0.060 0.795
10 Cu 0.500 0.705 0.440
11 Cu 0.500 0.940 0.205
12 Cu 0.500 0.295 0.560
13 Cu 0.500 0.560 0.705
14 Cu 0.500 0.440 0.295
15 Cu 0.500 0.500 0.000
16 Cu 0.500 0.000 0.500
17 Ni 0.000 0.120 0.620
18 Ni 0.000 0.880 0.380
19 Ni 0.000 0.620 0.880
20 Ni 0.000 0.380 0.120

Values from the calculation:
The final energy comes out at -0.1391 hartree per atom. The formation energy is -0.054 eV/atom. The total moment is 0.000 μB per cell.

---

Record 3
First-principles (PBE) data for a relaxed La2PmDy9 crystal, as listed in Alexandria.

abc: 5.073 5.073 15.226
angles: 90.00 90.00 90.00
Element x y z (fractional)
1 La 0.000 0.000 0.334
2 La 0.000 0.000 0.666
3 Pm 0.000 0.000 0.000
4 Dy 0.500 0.500 0.000
5 Dy 0.500 0.500 0.332
6 Dy 0.500 0.500 0.668
7 Dy 0.500 0.000 0.165
8 Dy 0.500 0.000 0.500
9 Dy 0.500 0.000 0.835
10 Dy 0.000 0.500 0.165
11 Dy 0.000 0.500 0.500
12 Dy 0.000 0.500 0.835

Values from the calculation:
The final energy comes out at -0.1706 hartree per atom. The formation energy is 0.027 eV/atom. The calculation puts the energy above the most stable polymorph in this dataset at 0.0 meV/atom. The total moment is 0.000 μB per cell.

---

Record 4
First-principles (PBE) data for a relaxed Na2UAgCl8 crystal, as listed in Alexandria.

abc: 6.479 6.314 9.017
angles: 89.99 90.00 96.45
Element x y z (fractional)
1 Na 0.500 0.500 0.720
2 Na 0.500 0.500 0.280
3 U 0.000 0.000 0.000
4 Ag 0.000 0.000 0.500
5 Cl 0.165 0.793 0.199
6 Cl 0.680 0.722 0.000
7 Cl 0.835 0.207 0.199
8 Cl 0.835 0.207 0.801
9 Cl 0.320 0.278 0.000
10 Cl 0.165 0.793 0.801
11 Cl 0.706 0.727 0.500
12 Cl 0.294 0.273 0.500

Values from the calculation:
The final energy comes out at -0.1508 hartree per atom. The total moment is 0.971 μB per cell. The calculation puts the energy relative to the elements, uncorrected at -1.4735 eV/atom.

---

Record 5
First-principles (PBE) data for a relaxed MgCo2Cl crystal, as listed in Alexandria.

abc: 2.922 2.922 8.088
angles: 90.00 90.00 118.29
Element x y z (fractional)
1 Cl 0.500 0.500 0.750
2 Co 0.000 0.000 0.981
3 Co 0.000 0.000 0.519
4 Mg 0.500 0.500 0.250

Values from the calculation:
The final energy comes out at -0.1466 hartree per atom. The calculation puts the energy above the most stable polymorph in this dataset at 496.6 meV/atom. The total moment is 3.382 μB per cell. The calculation puts the energy relative to the elements, uncorrected at 0.4252 eV/atom.

---

Record 6
First-principles (PBE) data for a relaxed Pm3Nd7Sm crystal, as listed in Alexandria.

abc: 6.514 7.868 7.868
angles: 81.77 85.84 85.84
Element x y z (fractional)
1 Pm 0.000 0.828 0.172
2 Pm 0.500 0.000 0.000
3 Pm 0.000 0.172 0.828
4 Nd 0.787 0.237 0.237
5 Nd 0.739 0.921 0.574
6 Nd 0.261 0.426 0.079
7 Nd 0.739 0.574 0.921
8 Nd 0.000 0.500 0.500
9 Nd 0.261 0.079 0.426
10 Nd 0.213 0.763 0.763
11 Sm 0.500 0.500 0.500

Values from the calculation:
The final energy comes out at -0.1669 hartree per atom. The formation energy is 0.217 eV/atom. The total moment is 0.000 μB per cell.

---

Record 7
First-principles (PBE) data for a relaxed Ac3PmPr2 crystal, as listed in Alexandria.

abc: 3.862 10.837 11.522
angles: 89.29 90.00 90.00
Element x y z (fractional)
1 Ac 0.750 0.124 0.583
2 Ac 0.250 0.876 0.417
3 Ac 0.750 0.624 0.251
4 Ac 0.250 0.376 0.749
5 Ac 0.250 0.363 0.085
6 Ac 0.750 0.637 0.915
7 Pm 0.250 0.878 0.749
8 Pm 0.750 0.122 0.251
9 Pr 0.250 0.373 0.416
10 Pr 0.750 0.627 0.584
11 Pr 0.750 0.116 0.916
12 Pr 0.250 0.884 0.084

Values from the calculation:
The final energy comes out at -0.1621 hartree per atom. The formation energy is 0.029 eV/atom. The calculation puts the energy above the most stable polymorph in this dataset at 0.0 meV/atom. The total moment is 0.000 μB per cell.

---

Record 8
First-principles (PBE) data for a relaxed La2ErSb crystal, as listed in Alexandria.

abc: 5.612 5.612 5.608
angles: 59.98 59.98 60.00
Element x y z (fractional)
1 Sb 0.000 0.000 0.000
2 La 0.750 0.750 0.750
3 La 0.250 0.250 0.250
4 Er 0.500 0.500 0.500

Values from the calculation:
The final energy comes out at -0.1822 hartree per atom. The calculation puts the energy above the most stable polymorph in this dataset at 230.8 meV/atom. The total moment is 0.007 μB per cell. The calculation puts the energy relative to the elements, uncorrected at -0.3219 eV/atom.

---

Record 9
First-principles (PBE) data for a relaxed Ba2AsPtN crystal, as listed in Alexandria.

abc: 5.942 5.942 3.796
angles: 90.00 90.00 90.00
Element x y z (fractional)
1 As 0.500 0.500 0.500
2 Ba 0.000 0.500 0.000
3 Ba 0.500 0.000 0.000
4 Pt 0.000 0.000 0.500
5 N 0.000 0.000 0.000

Values from the calculation:
The final energy comes out at -0.1951 hartree per atom. The total moment is 0.000 μB per cell. The calculation puts the energy relative to the elements, uncorrected at -0.7359 eV/atom.